PaAg2SO8 (PBE, relaxed); DFT total energy = -68.7 eV for the cell shown; ρ = 7.46 g cm⁻³; space group = P-3m1, No. 164
1.0
5.098 0.000 0.000
-2.549 4.415 0.000
0.000 0.000 6.002
Pa Ag S O
1 2 1 8
direct
0.000 0.000 0.000
0.333 0.667 0.359
0.667 0.333 0.641
0.000 0.000 0.500
0.150 0.301 0.671
0.150 0.850 0.671
0.301 0.150 0.329
0.333 0.667 0.029
0.667 0.333 0.971
0.699 0.850 0.671
0.850 0.150 0.329
0.850 0.699 0.329